# CdSb3P, optimized geometry, DFT PBE
# **Formation energy (no corrections)**: 1.165 eV/atom
# **DFT total energy**: -2.57 eV per atom
# **E above lowest polymorph**: 623 meV/atom
data_CdSb3P
_chemical_formula_sum 'Cd1 Sb3 P1'
_symmetry_space_group_name_H-M 'P m -3 m'
_symmetry_Int_Tables_number 221
_symmetry_space_group_name_Hall '-P 4 2 3'
_cell_length_a 5.440
_cell_length_b 5.440
_cell_length_c 5.440
_cell_angle_alpha 90.00
_cell_angle_beta 90.00
_cell_angle_gamma 90.00
loop_
_atom_site_label
_atom_site_type_symbol
_atom_site_fract_x
_atom_site_fract_y
_atom_site_fract_z
Cd1 Cd 0.000 0.000 0.000
Sb1 Sb 0.000 0.000 0.500
P1 P 0.500 0.500 0.500

# Tm6AgPd12, optimized geometry, DFT PBE
# **DFT formation energy**: -0.7325 eV per atom
# **DFT total energy**: -5.57 eV per atom
data_Tm6AgPd12
_chemical_formula_sum 'Tm18 Ag3 Pd36'
_symmetry_space_group_name_H-M 'R -3'
_symmetry_Int_Tables_number 148
_symmetry_space_group_name_Hall '-R 3'
_cell_length_a 10.6751
_cell_length_b 10.6751
_cell_length_c 11.1380
_cell_angle_alpha 90.00
_cell_angle_beta 90.00
_cell_angle_gamma 120.00
loop_
_atom_site_label
_atom_site_type_symbol
_atom_site_fract_x
_atom_site_fract_y
_atom_site_fract_z
Tm1 Tm 0.0116 0.4291 0.2404
Ag1 Ag 0.0000 0.0000 0.5000
Pd1 Pd 0.0604 0.1914 0.3223
Pd2 Pd 0.0621 0.8829 0.8923

# TaGaCuH, optimized geometry, DFT PBE
# **DFT total energy**: -5.68 eV per atom
data_TaGaCuH
_chemical_formula_sum 'Ta2 Ga2 Cu2 H2'
_symmetry_space_group_name_H-M 'P 4/n m m'
_symmetry_Int_Tables_number 129
_cell_length_a 3.681
_cell_length_b 3.681
_cell_length_c 6.891
_cell_angle_alpha 90.00
_cell_angle_beta 90.00
_cell_angle_gamma 90.00
loop_
_symmetry_equiv_pos_as_xyz
'x,y,z'
'-x,-y,-z'
'-y+1/2,x,z'
'y+1/2,-x,-z'
'-x+1/2,-y+1/2,z'
'x+1/2,y+1/2,-z'
'y,-x+1/2,z'
'-y,x+1/2,-z'
'x+1/2,-y,-z'
'-x+1/2,y,z'
'-y,-x,-z'
'y,x,z'
'-x,y+1/2,-z'
'x,-y+1/2,z'
'y+1/2,x+1/2,-z'
'-y+1/2,-x+1/2,z'
loop_
_atom_site_label
_atom_site_type_symbol
_atom_site_fract_x
_atom_site_fract_y
_atom_site_fract_z
Ta1 Ta 0.250 0.250 0.134
Ga1 Ga 0.250 0.250 0.729
Cu1 Cu 0.250 0.750 0.500
H1 H 0.250 0.750 0.000

# SrHoAl6, optimized geometry, DFT PBE
# **DFT formation energy**: -0.2491 eV per atom
# **DFT total energy**: -3.84 eV per atom
data_SrHoAl6
_chemical_formula_sum 'Sr1 Ho1 Al6'
_symmetry_space_group_name_H-M 'P m m 2'
_symmetry_Int_Tables_number 25
_symmetry_space_group_name_Hall 'P 2 -2'
_cell_length_a 4.446
_cell_length_b 6.305
_cell_length_c 6.120
_cell_angle_alpha 90.00
_cell_angle_beta 90.00
_cell_angle_gamma 90.00
loop_
_atom_site_label
_atom_site_type_symbol
_atom_site_fract_x
_atom_site_fract_y
_atom_site_fract_z
Sr1 Sr 0.000 0.000 0.000
Ho1 Ho 0.500 0.500 0.229
Al1 Al 0.000 0.260 0.478
Al2 Al 0.000 0.500 0.874
Al3 Al 0.500 0.000 0.407
Al4 Al 0.500 0.282 0.747

# YPbN2F, optimized geometry, DFT PBE
# **Formation energy (no corrections)**: -0.130 eV/atom
# **DFT total energy**: -5.87 eV per atom
# **E above lowest polymorph**: 367 meV/atom
data_YPbN2F
_chemical_formula_sum 'Y1 Pb1 N2 F1'
_symmetry_space_group_name_H-M 'P 4/m m m'
_symmetry_Int_Tables_number 123
_symmetry_space_group_name_Hall '-P 4 2'
_cell_length_a 4.424
_cell_length_b 4.424
_cell_length_c 4.282
_cell_angle_alpha 90.00
_cell_angle_beta 90.00
_cell_angle_gamma 90.00
loop_
_atom_site_label
_atom_site_type_symbol
_atom_site_fract_x
_atom_site_fract_y
_atom_site_fract_z
Y1 Y 0.000 0.000 0.000
Pb1 Pb 0.500 0.500 0.500
N1 N 0.000 0.500 0.500
F1 F 0.500 0.500 0.000

# RbNa2Al2, optimized geometry, DFT PBE
# **DFT formation energy**: 0.2514 eV per atom
# **DFT total energy**: -1.97 eV per atom
# **E above lowest polymorph**: 0 meV/atom
data_RbNa2Al2
_chemical_formula_sum 'Rb2 Na4 Al4'
_symmetry_space_group_name_H-M 'P 4/m b m'
_symmetry_Int_Tables_number 127
_symmetry_space_group_name_Hall '-P 4 2ab'
_cell_length_a 9.405
_cell_length_b 9.405
_cell_length_c 3.497
_cell_angle_alpha 90.00
_cell_angle_beta 90.00
_cell_angle_gamma 90.00
loop_
_atom_site_label
_atom_site_type_symbol
_atom_site_fract_x
_atom_site_fract_y
_atom_site_fract_z
Rb1 Rb 0.000 0.000 0.000
Na1 Na 0.184 0.316 0.500
Al1 Al 0.099 0.599 0.000

# LuPuCoGe, optimized geometry, DFT PBE
# **DFT formation energy**: -0.2798 eV per atom
# **DFT total energy**: -7.92 eV per atom
data_LuPuCoGe
_chemical_formula_sum 'Lu4 Pu4 Co4 Ge4'
_symmetry_space_group_name_H-M 'F -4 3 m'
_symmetry_Int_Tables_number 216
_symmetry_space_group_name_Hall 'F -4 2 3'
_cell_length_a 6.862
_cell_length_b 6.862
_cell_length_c 6.862
_cell_angle_alpha 90.00
_cell_angle_beta 90.00
_cell_angle_gamma 90.00
loop_
_atom_site_label
_atom_site_type_symbol
_atom_site_fract_x
_atom_site_fract_y
_atom_site_fract_z
Lu1 Lu 0.000 0.000 0.000
Pu1 Pu 0.000 0.000 0.500
Co1 Co 0.250 0.250 0.250
Ge1 Ge 0.250 0.250 0.750

# CuSi3, optimized geometry, DFT PBE
# **Formation energy (no corrections)**: 0.289 eV/atom
# **DFT total energy**: -4.80 eV per atom
data_CuSi3
_chemical_formula_sum 'Cu2 Si6'
_symmetry_space_group_name_H-M 'P m m n'
_symmetry_Int_Tables_number 59
_cell_length_a 4.644
_cell_length_b 6.698
_cell_length_c 3.768
_cell_angle_alpha 90.00
_cell_angle_beta 90.00
_cell_angle_gamma 90.00
loop_
_symmetry_equiv_pos_as_xyz
'x,y,z'
'-x,-y,-z'
'-x+1/2,-y+1/2,z'
'x+1/2,y+1/2,-z'
'x+1/2,-y,-z'
'-x+1/2,y,z'
'-x,y+1/2,-z'
'x,-y+1/2,z'
loop_
_atom_site_label
_atom_site_type_symbol
_atom_site_fract_x
_atom_site_fract_y
_atom_site_fract_z
Cu1 Cu 0.250 0.250 0.109
Si1 Si 0.250 0.004 0.622
Si2 Si 0.250 0.750 0.098

# SiBiBTe, optimized geometry, DFT PBE
# **Formation energy (no corrections)**: 0.346 eV/atom
# **DFT total energy**: -4.43 eV per atom
# **E above lowest polymorph**: 172 meV/atom
data_SiBiBTe
_chemical_formula_sum 'Si2 Bi2 B2 Te2'
_symmetry_space_group_name_H-M 'C 1 2 1'
_symmetry_Int_Tables_number 5
_symmetry_space_group_name_Hall 'C 2y'
_cell_length_a 4.179
_cell_length_b 16.639
_cell_length_c 3.365
_cell_angle_alpha 90.00
_cell_angle_beta 124.51
_cell_angle_gamma 90.00
loop_
_atom_site_label
_atom_site_type_symbol
_atom_site_fract_x
_atom_site_fract_y
_atom_site_fract_z
Si1 Si 0.000 0.000 0.000
Bi1 Bi 0.000 0.383 0.000
B1 B 0.000 0.068 0.500
Te1 Te 0.000 0.655 0.000

# UTaSb, optimized geometry, DFT PBE
# **Formation energy (no corrections)**: 0.123 eV/atom
# **DFT total energy**: -8.97 eV per atom
data_UTaSb
_chemical_formula_sum 'U4 Ta4 Sb4'
_symmetry_space_group_name_H-M 'C 1 2/m 1'
_symmetry_Int_Tables_number 12
_symmetry_space_group_name_Hall '-C 2y'
_cell_length_a 11.577
_cell_length_b 3.023
_cell_length_c 8.620
_cell_angle_alpha 90.00
_cell_angle_beta 118.96
_cell_angle_gamma 90.00
loop_
_atom_site_label
_atom_site_type_symbol
_atom_site_fract_x
_atom_site_fract_y
_atom_site_fract_z
U1 U 0.110 0.000 0.137
Ta1 Ta 0.137 0.500 0.482
Sb1 Sb 0.110 0.000 0.761

# TbCe2B9, optimized geometry, DFT PBE
# **DFT formation energy**: -0.1738 eV per atom
# **DFT total energy**: -6.56 eV per atom
data_TbCe2B9
_chemical_formula_sum 'Tb3 Ce6 B27'
_symmetry_space_group_name_H-M 'R -3 m'
_symmetry_Int_Tables_number 166
_symmetry_space_group_name_Hall '-R 3 2"'
_cell_length_a 4.4358
_cell_length_b 4.4358
_cell_length_c 28.1317
_cell_angle_alpha 90.00
_cell_angle_beta 90.00
_cell_angle_gamma 120.00
loop_
_atom_site_label
_atom_site_type_symbol
_atom_site_fract_x
_atom_site_fract_y
_atom_site_fract_z
Tb1 Tb 0.0000 0.0000 0.0000
Ce1 Ce 0.0000 0.0000 0.1181
B1 B 0.0000 0.0000 0.4054
B2 B 0.0000 0.0000 0.5000
B3 B 0.0899 0.5450 0.9377

# CaTh4Hg5, optimized geometry, DFT PBE
# **DFT formation energy**: -0.2802 eV per atom
# **DFT total energy**: -3.60 eV per atom
data_CaTh4Hg5
_chemical_formula_sum 'Ca1 Th4 Hg5'
_symmetry_space_group_name_H-M 'P 4/m m m'
_symmetry_Int_Tables_number 123
_symmetry_space_group_name_Hall '-P 4 2'
_cell_length_a 3.526
_cell_length_b 3.526
_cell_length_c 21.980
_cell_angle_alpha 90.00
_cell_angle_beta 90.00
_cell_angle_gamma 90.00
loop_
_atom_site_label
_atom_site_type_symbol
_atom_site_fract_x
_atom_site_fract_y
_atom_site_fract_z
Ca1 Ca 0.000 0.000 0.000
Th1 Th 0.000 0.000 0.195
Th2 Th 0.000 0.000 0.399
Hg1 Hg 0.500 0.500 0.093
Hg2 Hg 0.500 0.500 0.296
Hg3 Hg 0.500 0.500 0.500